(1)
PuUO6 | PBE-GGA | relaxed

For the formation energy without anion corrections, the calculation gives -2.6949 eV per atom. Its symmetry is No. 2.

Cell and atoms, written as POSCAR:
```
PuUO6
1.0
5.213 0.000 0.000
0.337 5.409 0.000
2.523 0.996 4.720
Pu U O
1 1 6
Cartesian
0.000 0.000 0.000 Pu
1.430 3.202 2.360 U
0.812 1.746 1.328 O
3.121 1.966 3.073 O
1.894 4.331 0.434 O
6.177 2.074 4.286 O
4.950 4.438 1.646 O
7.259 4.659 3.391 O
```

=====

(2)
PuUO5 | PBE-GGA | relaxed

For the formation energy without anion corrections, the calculation gives -3.0571 eV per atom. Its symmetry is No. 15.

Cell and atoms, written as POSCAR:
```
PuUO5
1.0
4.635 -3.388 0.000
4.635 3.388 0.000
-3.294 0.000 7.154
Pu U O
2 2 10
Cartesian
0.000 0.000 0.000 Pu
-1.647 0.000 3.577 Pu
2.165 0.235 5.366 U
3.812 -0.235 1.789 U
2.165 2.596 5.366 O
0.425 0.216 4.587 O
4.430 1.292 0.305 O
2.072 -0.216 1.010 O
3.194 1.292 3.273 O
2.783 -1.292 3.882 O
3.905 0.216 6.145 O
1.547 -1.292 6.850 O
5.552 -0.216 2.568 O
3.812 -2.596 1.789 O
```

=====

(3)
PuU4O10 | PBE-GGA | relaxed

For the formation energy without anion corrections, the calculation gives -3.2732 eV per atom. Its symmetry is No. 166.

Cell and atoms, written as POSCAR:
```
PuU4O10
1.0
1.916 1.106 15.634
-1.916 1.106 15.634
0.000 -2.213 15.634
Pu U O
1 4 10
Cartesian
0.000 0.000 0.000 Pu
0.000 0.000 9.377 U
0.000 0.000 18.728 U
0.000 0.000 28.174 U
0.000 0.000 37.526 U
0.000 0.000 2.429 O
0.000 0.000 7.041 O
0.000 0.000 11.719 O
0.000 0.000 16.515 O
0.000 0.000 21.112 O
0.000 0.000 25.791 O
0.000 0.000 30.388 O
0.000 0.000 35.184 O
0.000 0.000 39.862 O
0.000 0.000 44.473 O
```